## LiVPbO3 (PBE with a Hubbard U)

Data for a relaxed structure of LiVPbO3.

Cell lengths 5.531, 5.454, 5.832 Å; angles 117.88, 90.00, 90.00 degrees
Each line ends with the local moment (μB).
Element x y z (fractional)
1 Pb 0.750 0.201 0.402  0.02
2 Pb 0.250 0.799 0.598  0.02
3 O 0.000 0.750 0.000  0.02
4 O 0.750 0.737 0.475  0.00
5 O 0.500 0.250 0.000  0.02
6 O 0.000 0.250 0.000  0.02
7 O 0.500 0.750 0.000  0.02
8 O 0.250 0.263 0.525  0.00
9 Li 0.250 0.074 0.149  0.00
10 Li 0.750 0.926 0.851  0.00
11 V 0.750 0.550 0.100  1.82
12 V 0.250 0.450 0.900  1.82

magnetization: 4.00 Bohr magnetons per cell
space-group type: Cmcm, No. 63
electronic total energy: -6.194 eV per atom